[1]
Material: LuScRh4
Method: DFT, PBE
State: optimized geometry

Computed properties:
E_form = -0.73 eV per atom
Volume = 408.0 Å³ per cell

a = 7.417 Å, b = 7.417 Å, c = 7.417 Å
α = 90.00°, β = 90.00°, γ = 90.00°
Space group F-43m (No. 216)
Symmetry-distinct sites (fractional):
Lu 0.000 0.000 0.000 [4 per cell]
Sc 0.250 0.250 0.750 [4 per cell]
Rh 0.125 0.125 0.375 [16 per cell]


[2]
Material: LuScRh2
Method: DFT, PBE
State: optimized geometry

Computed properties:
E_form = -1.01 eV per atom
E above lowest polymorph = 1 kJ/mol of formula units
Volume = 71.3 Å³ per cell

a = 3.237 Å, b = 3.237 Å, c = 6.802 Å
α = 90.00°, β = 90.00°, γ = 90.00°
Space group P4/mmm (No. 123)
Symmetry-distinct sites (fractional):
Lu 0.000 0.000 0.000 [1 per cell]
Sc 0.000 0.000 0.500 [1 per cell]
Rh 0.500 0.500 0.261 [2 per cell]


[3]
Material: Lu2ScRh
Method: DFT, PBE
State: optimized geometry

Computed properties:
E_form = -0.46 eV per atom
E above lowest polymorph = 0 kJ/mol of formula units
Volume = 93.5 Å³ per cell

a = 3.409 Å, b = 3.409 Å, c = 8.049 Å
α = 90.00°, β = 90.00°, γ = 90.00°
Space group P4/mmm (No. 123)
Symmetry-distinct sites (fractional):
Lu 0.000 0.000 0.199 [2 per cell]
Sc 0.500 0.500 0.500 [1 per cell]
Rh 0.500 0.500 0.000 [1 per cell]


Copy entry 2 word for word.
Material: LuScRh2
Method: DFT, PBE
State: optimized geometry

Computed properties:
E_form = -1.01 eV per atom
E above lowest polymorph = 1 kJ/mol of formula units
Volume = 71.3 Å³ per cell

a = 3.237 Å, b = 3.237 Å, c = 6.802 Å
α = 90.00°, β = 90.00°, γ = 90.00°
Space group P4/mmm (No. 123)
Symmetry-distinct sites (fractional):
Lu 0.000 0.000 0.000 [1 per cell]
Sc 0.000 0.000 0.500 [1 per cell]
Rh 0.500 0.500 0.261 [2 per cell]